VASP calculation (PBE) on an optimized crystal structure of Zn2SiAu. Values from VASP.

Crystal system = orthorhombic
Total magnetization = 0.00 μB/f.u.
Total energy = -10.895 eV/f.u.
Space-group type = Imm2 (44)

The structure in Quantum ESPRESSO input format:
```
&SYSTEM
  ibrav = 0, nat = 4, ntyp = 3
/
ATOMIC_SPECIES
Au 196.97 Au.upf
Si 28.09 Si.upf
Zn 65.41 Zn.upf
CELL_PARAMETERS angstrom
-4.707 -4.379 -0.328
-0.987 -5.168 -3.708
3.168 3.631 4.268
ATOMIC_POSITIONS angstrom
Au -2.676 -4.487 -1.897
Si -0.482 -3.405 -0.834
Zn -0.277 -0.465 -0.197
Zn -1.938 -2.332 1.142
```